No. 1
{
  "formula": "Y2CoNiSn",
  "functional": "PBE",
  "state": "relaxed",
  "formation_energy_ev_per_atom": -0.067,
  "vol_a3_per_cell": 115.4,
  "energy_ev_per_atom": -6.03,
  "magmom_total_mub_per_fu": 1.1,
  "dos_at_fermi_per_ev_cell": 4.1,
  "cell": [[5.1351, 0.0000, 0.0000], [0.0000, 5.1351, 0.0000], [0.0000, 0.0000, 4.3773]],
  "species": ["Y", "Y", "Co", "Ni", "Sn"],
  "frac_coords": [[0.0000, 0.5000, 0.0000], [0.5000, 0.0000, 0.0000], [0.0000, 0.0000, 0.0000], [0.0000, 0.0000, 0.5000], [0.5000, 0.5000, 0.5000]]
}

=====

No. 2
{
  "formula": "BaTaPbO6",
  "functional": "PBE",
  "state": "relaxed",
  "vol_a3_per_cell": 314.3,
  "energy_ev_per_atom": -7.21,
  "magmom_total_mub_per_fu": 1.1,
  "formation_energy_uncorrected_ev_per_atom": -1.966,
  "dos_at_fermi_per_ev_cell": 11.2,
  "cell": [[5.6707, 0.0000, 0.0000], [-2.8354, 4.9110, 0.0000], [0.0000, 0.0000, 11.2842]],
  "species": ["Ba", "Ba", "Ta", "Ta", "Pb", "Pb", "O", "O", "O", "O", "O", "O", "O", "O", "O", "O", "O", "O"],
  "frac_coords": [[0.0000, 0.0000, 0.0000], [0.0000, 0.0000, 0.5000], [0.3333, 0.6667, 0.2500], [0.6667, 0.3333, 0.7500], [0.3333, 0.6667, 0.7500], [0.6667, 0.3333, 0.2500], [0.0236, 0.4023, 0.1475], [0.0236, 0.6213, 0.3525], [0.3787, 0.4023, 0.3525], [0.3787, 0.9764, 0.1475], [0.4023, 0.0236, 0.6475], [0.4023, 0.3787, 0.8525], [0.5977, 0.6213, 0.1475], [0.5977, 0.9764, 0.3525], [0.6213, 0.0236, 0.8525], [0.6213, 0.5977, 0.6475], [0.9764, 0.3787, 0.6475], [0.9764, 0.5977, 0.8525]]
}

=====

No. 3
{
  "formula": "Sc2TaCo",
  "functional": "PBE",
  "state": "relaxed",
  "formation_energy_ev_per_atom": -0.051,
  "vol_a3_per_cell": 71.2,
  "energy_ev_per_atom": -7.96,
  "magmom_total_mub_per_fu": 0.2,
  "dos_at_fermi_per_ev_cell": 3.7,
  "cell": [[3.0965, 0.0000, 0.0000], [0.0000, 3.0965, 0.0000], [0.0000, 0.0000, 7.4254]],
  "species": ["Sc", "Sc", "Ta", "Co"],
  "frac_coords": [[0.0000, 0.0000, 0.2095], [0.0000, 0.0000, 0.7905], [0.5000, 0.5000, 0.5000], [0.5000, 0.5000, 0.0000]]
}

=====

No. 4
{
  "formula": "Li2MnCdCl6",
  "functional": "PBE",
  "state": "relaxed",
  "vol_a3_per_cell": 215.3,
  "energy_ev_per_atom": -3.85,
  "magmom_total_mub_per_fu": 5.0,
  "formation_energy_uncorrected_ev_per_atom": -1.352,
  "dos_at_fermi_per_ev_cell": 0.0,
  "cell": [[3.2396, 1.8704, 5.9220], [-3.2396, 1.8704, 5.9220], [0.0000, -3.7407, 5.9220]],
  "species": ["Li", "Li", "Mn", "Cd", "Cl", "Cl", "Cl", "Cl", "Cl", "Cl"],
  "frac_coords": [[0.0000, 0.0000, 0.0000], [0.4970, 0.4970, 0.4970], [0.6926, 0.6926, 0.6926], [0.1955, 0.1955, 0.1955], [0.0904, 0.4163, 0.7773], [0.2871, 0.8989, 0.6081], [0.4163, 0.7773, 0.0904], [0.6081, 0.2871, 0.8989], [0.7773, 0.0904, 0.4163], [0.8989, 0.6081, 0.2871]]
}